Entry 1:
Tb2Pm2PrHo PBE relaxed; calculated formation energy = 0.060 eV/atom; symmetry = Pnnm, No. 58
1.0
5.6825 0.0000 0.0000
0.0000 9.8983 0.0000
0.0000 0.0000 7.0492
Ho Pr Pm Tb
2 2 4 4
Direct
0.5000 0.5000 0.0000 Ho
0.0000 0.0000 0.5000 Ho
0.0000 0.0000 0.0000 Pr
0.5000 0.5000 0.5000 Pr
0.0000 0.3333 0.2483 Pm
0.5000 0.8333 0.2517 Pm
0.5000 0.1667 0.7483 Pm
0.0000 0.6667 0.7517 Pm
0.5000 0.8333 0.7493 Tb
0.0000 0.3333 0.7507 Tb
0.5000 0.1667 0.2507 Tb
0.0000 0.6667 0.2493 Tb

Entry 2:
CsZn5Sb4 PBE relaxed; symmetry = Pmmn, No. 59; raw formation energy = -14 kJ/mol of formula units
1.0
7.1550 0.0000 0.0000
0.0000 9.2090 0.0000
0.0000 0.0000 9.6560
Zn Sb Cs
10 8 2
Direct
0.1247 0.6729 0.8127 Zn
0.8753 0.8271 0.3127 Zn
0.1247 0.3271 0.8127 Zn
0.8753 0.1729 0.6873 Zn
0.7934 0.5000 0.0000 Zn
0.1247 0.6729 0.1873 Zn
0.2066 0.0000 0.5000 Zn
0.1247 0.3271 0.1873 Zn
0.8753 0.1729 0.3127 Zn
0.8753 0.8271 0.6873 Zn
0.1190 0.7193 0.5000 Sb
0.8810 0.7807 0.0000 Sb
0.8810 0.2193 0.0000 Sb
0.4122 0.5000 0.8541 Sb
0.5878 0.0000 0.3541 Sb
0.5878 0.0000 0.6459 Sb
0.4122 0.5000 0.1459 Sb
0.1190 0.2807 0.5000 Sb
0.6132 0.5000 0.5000 Cs
0.3868 0.0000 0.0000 Cs

Entry 3:
KBaAs2 PBE relaxed; E above lowest polymorph = 0.522 eV per atom; calculated formation energy = -0.164 eV/atom; symmetry = R-3m, No. 166
1.0
-1.9426 9.7355 1.7547
-4.8316 8.7956 -0.9616
-5.4023 7.9698 2.9881
As Ba K
2 1 1
Direct
0.9985 0.9985 0.9985 As
0.5015 0.5015 0.5015 As
0.2500 0.2500 0.2500 Ba
0.7500 0.7500 0.7500 K

Sequential V output: 396, 636, 141 Å³/cell